{"formula": "LiTbPm", "functional": "PBE", "state": "optimized geometry", "energy_ev_per_cell": -11.04, "de_polymorph_ev_per_fu": 0.10, "n_ef_per_ev_atom": 1.42, "delta_e_f_mev_per_atom": 85.1, "cell": [[-1.860, 1.860, 6.223], [1.860, -1.860, 6.223], [1.860, 1.860, -6.223]], "species": ["Li", "Tb", "Pm"], "frac_coords": [[0.000, 0.000, 0.000], [0.351, 0.351, 0.000], [0.656, 0.656, 0.000]]}